Record 1
A relaxed structure of MnZn2Ag, computed with PBE-GGA.

Results
Magnetization: 3.78 μB per cell
Energy relative to the elements: 0.09 eV per atom
Space group: Cm
N(E_F): 1.151 states/eV/f.u.

Lattice parameters (Å, degrees): 5.0357 5.0357 4.5550 70.94 70.94 34.64
Last column: magnetic moment on the atom in μB.
Atoms (fractional coordinates):
Zn  0.7412  0.7412  0.7408  -0.04
Zn  0.0051  0.0051  0.0134  -0.01
Mn  0.2585  0.2585  0.2288  3.63
Ag  0.4952  0.4952  0.5169  0.02

Record 2
A relaxed structure of Hf2ScW, computed with PBE-GGA.

Results
Magnetization: 0.46 μB per cell
Energy relative to the elements: 0.12 eV per atom
E above lowest polymorph: 0.0 kJ/mol of formula units
Space group: P4/mmm
N(E_F): 6.483 states/eV/f.u.

Lattice parameters (Å, degrees): 3.3999 3.3999 7.2960 90.00 90.00 90.00
Last column: magnetic moment on the atom in μB.
Atoms (fractional coordinates):
Sc  0.5000  0.5000  0.5000  0.14
Hf  0.0000  0.0000  0.7900  0.06
Hf  0.0000  0.0000  0.2100  0.06
W  0.5000  0.5000  0.0000  0.01

Record 3
A relaxed structure of PmMgInRu, computed with PBE-GGA.

Results
Magnetization: 0.00 μB per cell
Energy relative to the elements: -0.06 eV per atom
Space group: F-43m
N(E_F): 2.915 states/eV/f.u.

Lattice parameters (Å, degrees): 4.9603 4.9603 4.9603 60.00 60.00 60.00
Atoms (fractional coordinates):
Mg  0.0000  0.0000  0.0000
In  0.2500  0.2500  0.2500
Ru  0.7500  0.7500  0.7500
Pm  0.5000  0.5000  0.5000